[1]
The following is a DFT calculation (PBE-GGA) of an optimized crystal structure of TbTmGeAu.

POSCAR file:
```
TbTmGeAu
1.0
7.151 0.000 0.000
0.000 7.151 0.000
0.000 0.000 7.151
Tb Tm Ge Au
4 4 4 4
Direct
0.000 0.000 0.000 Tb
0.000 0.500 0.500 Tb
0.500 0.000 0.500 Tb
0.500 0.500 0.000 Tb
0.000 0.000 0.500 Tm
0.000 0.500 0.000 Tm
0.500 0.000 0.000 Tm
0.500 0.500 0.500 Tm
0.250 0.250 0.750 Ge
0.250 0.750 0.250 Ge
0.750 0.250 0.250 Ge
0.750 0.750 0.750 Ge
0.250 0.250 0.250 Au
0.250 0.750 0.750 Au
0.750 0.250 0.750 Au
0.750 0.750 0.250 Au
```

Output
- Formation energy: -0.7446 eV per atom
- Crystal system: cubic

=====

[2]
The following is a DFT calculation (PBE-GGA) of an optimized crystal structure of CrIr2W.

POSCAR file:
```
CrIr2W
1.0
2.745 0.000 0.000
-1.373 2.377 0.000
0.000 0.000 26.730
Cr Ir W
3 6 3
Direct
0.000 0.000 0.000 Cr
0.333 0.667 0.667 Cr
0.667 0.333 0.333 Cr
0.000 0.000 0.497 Ir
0.000 0.000 0.741 Ir
0.333 0.667 0.164 Ir
0.333 0.667 0.407 Ir
0.667 0.333 0.074 Ir
0.667 0.333 0.831 Ir
0.000 0.000 0.246 W
0.333 0.667 0.912 W
0.667 0.333 0.579 W
```

Output
- Formation energy: 0.0317 eV per atom
- Crystal system: trigonal

=====

[3]
The following is a DFT calculation (PBE-GGA) of an optimized crystal structure of FeCuTeAsOs.

POSCAR file:
```
FeCuTeAsOs
1.0
8.381 0.000 0.000
0.000 3.165 0.000
-0.232 0.000 6.806
Fe Cu Te As Os
2 2 2 2 2
Direct
0.000 0.000 0.000 Fe
0.500 0.500 0.000 Fe
0.206 0.500 0.822 Cu
0.706 0.000 0.822 Cu
0.469 0.500 0.612 Te
0.969 0.000 0.612 Te
0.228 0.500 0.183 As
0.728 0.000 0.183 As
0.446 0.000 0.283 Os
0.946 0.500 0.283 Os
```

Output
- Formation energy without anion corrections: 0.327 eV/atom
- Crystal system: monoclinic

=====

The following relative energy among the computed polymorphs values (in meV/atom) correspond, in order, to the records above: 112, 273, 210.
The following total magnetic moment values (in Bohr magnetons per cell) correspond, in order, to the records above: 1.380, 0.000, 6.126.